No. 1
The following is a PBE-GGA calculation of an optimized crystal structure of Ba2Ga4AgPd3, from Alexandria via LeMat-Bulk.

abc: 4.6136 4.6136 10.5020
angles: 90.00 90.00 90.00
Closest atoms and distances in Å follow each position.
Fractional positions:
1 Ba 0.0000 0.5000 0.2498  8 Ga 3.49-3.52, 2 Ag 3.50, 7 Pd 3.50-3.89
2 Ba 0.5000 0.0000 0.7502  8 Ga 3.49-3.52, 2 Ag 3.50, 7 Pd 3.50-3.89
3 Ga 0.0000 0.0000 0.0000  4 Pd 2.63
4 Ga 0.0000 0.5000 0.6233  3 Pd 2.65-2.69, 2 Ag 2.65
5 Ga 0.5000 0.0000 0.3767  3 Pd 2.65-2.69, 2 Ag 2.65
6 Ga 0.5000 0.5000 0.0000  4 Pd 2.63
7 Ag 0.0000 0.0000 0.5000  4 Ga 2.65
8 Pd 0.0000 0.5000 0.8791  5 Ga 2.63-2.69
9 Pd 0.5000 0.0000 0.1209  5 Ga 2.63-2.69
10 Pd 0.5000 0.5000 0.5000  4 Ga 2.65

Calculated values
Total DFT energy (no corrections) in eV/atom: -4.00
N(E_F) in states/eV per atom: 0.566
Energy of formation in eV per atom: -0.5656

No. 2
The following is a PBE-GGA calculation of an optimized crystal structure of Si2NiPd, from Alexandria via LeMat-Bulk.

abc: 7.7415 7.7415 7.7415
angles: 21.14 21.14 21.14
Closest atoms and distances in Å follow each position.
Fractional positions:
1 Si 0.0000 0.0000 0.0000  3 Ni 2.44, 3 Pd 2.62
2 Si 0.1775 0.1775 0.1775  3 Ni 2.39, 3 Pd 2.57
3 Ni 0.5873 0.5873 0.5873  6 Si 2.39-2.44
4 Pd 0.4235 0.4235 0.4235  6 Si 2.57-2.62, 6 Pd 2.84

Calculated values
Total DFT energy (no corrections) in eV/atom: -5.75
N(E_F) in states/eV per atom: 0.463
Energy relative to the elements, uncorrected in meV/atom: -292.3

No. 3
The following is a PBE-GGA calculation of an optimized crystal structure of LaAl2GaRu, from Alexandria via LeMat-Bulk.

abc: 4.7152 4.7152 4.7844
angles: 90.00 90.00 90.00
Closest atoms and distances in Å follow each position.
Fractional positions:
1 La 0.0000 0.0000 0.0000  4 Ga 3.33, 8 Al 3.36
2 Al 0.0000 0.5000 0.5000  2 Ru 2.36
3 Al 0.5000 0.0000 0.5000  2 Ru 2.36
4 Ga 0.5000 0.5000 0.0000  2 Ru 2.39
5 Ru 0.5000 0.5000 0.5000  4 Al 2.36, 2 Ga 2.39

Calculated values
Total DFT energy (no corrections) in eV/atom: -5.45
N(E_F) in states/eV per atom: 0.212
Energy of formation in eV per atom: -0.5056

No. 4
The following is a PBE-GGA calculation of an optimized crystal structure of PmAlPd3, from Alexandria via LeMat-Bulk.

abc: 6.2021 6.2021 11.8220
angles: 90.00 90.00 120.00
Closest atoms and distances in Å follow each position.
Fractional positions:
1 Pm 0.0000 0.0000 0.0000  12 Pd 3.10-3.33
2 Pm 0.0000 0.0000 0.5000  12 Pd 3.10-3.33
3 Pm 0.3333 0.6667 0.2500  12 Pd 3.11-3.46
4 Pm 0.6667 0.3333 0.7500  12 Pd 3.11-3.46
5 Al 0.3333 0.6667 0.6391  6 Pd 2.43-2.44, 1 Al 2.62
6 Al 0.3333 0.6667 0.8609  6 Pd 2.43-2.44, 1 Al 2.62
7 Al 0.6667 0.3333 0.1391  6 Pd 2.43-2.44, 1 Al 2.62
8 Al 0.6667 0.3333 0.3609  6 Pd 2.43-2.44, 1 Al 2.62
9 Pd 0.0000 0.5000 0.0000  2 Al 2.43
10 Pd 0.0000 0.5000 0.5000  2 Al 2.43
11 Pd 0.1422 0.2843 0.7500  2 Al 2.44, 2 Pd 2.65
12 Pd 0.1422 0.8578 0.7500  2 Al 2.44, 2 Pd 2.65
13 Pd 0.2843 0.1422 0.2500  2 Al 2.44, 2 Pd 2.65
14 Pd 0.5000 0.0000 0.0000  2 Al 2.43
15 Pd 0.5000 0.0000 0.5000  2 Al 2.43
16 Pd 0.5000 0.5000 0.0000  2 Al 2.43
17 Pd 0.5000 0.5000 0.5000  2 Al 2.43
18 Pd 0.7157 0.8578 0.7500  2 Al 2.44, 2 Pd 2.65
19 Pd 0.8578 0.1422 0.2500  2 Al 2.44, 2 Pd 2.65
20 Pd 0.8578 0.7157 0.2500  2 Al 2.44, 2 Pd 2.65

Calculated values
Total DFT energy (no corrections) in eV/atom: -5.52
N(E_F) in states/eV per atom: 0.430
Energy of formation in eV per atom: -0.7061

No. 5
The following is a PBE-GGA calculation of an optimized crystal structure of LaTb2O4, from Alexandria via LeMat-Bulk.

abc: 6.7132 6.7132 5.9135
angles: 116.05 116.05 30.05
Closest atoms and distances in Å follow each position.
Fractional positions:
1 La 0.0000 0.0000 0.0000  6 O 2.41-2.63
2 Tb 0.2880 0.2880 0.2900  6 O 2.26-2.45
3 Tb 0.7120 0.7120 0.7100  6 O 2.26-2.45
4 O 0.1442 0.1442 0.4390  3 Tb 2.26-2.40, 1 La 2.41
5 O 0.3438 0.3438 0.9792  3 Tb 2.26-2.45
6 O 0.6562 0.6562 0.0208  3 Tb 2.26-2.45
7 O 0.8558 0.8558 0.5610  3 Tb 2.26-2.40, 1 La 2.41

Calculated values
Total DFT energy (no corrections) in eV/atom: -8.06
N(E_F) in states/eV per atom: 0.297
Energy relative to the elements, uncorrected in meV/atom: -3200.1

No. 6
The following is a PBE-GGA calculation of an optimized crystal structure of Na10B17C3, from Alexandria via LeMat-Bulk.

abc: 11.8745 11.8745 10.2149
angles: 105.61 105.61 13.67
Closest atoms and distances in Å follow each position.
Fractional positions:
1 Na 0.0000 0.0000 0.0000  12 B 2.69-3.01, 2 Na 2.83
2 Na 0.0996 0.0996 0.6975  11 B 2.69-2.98, 1 C 2.80, 4 Na 2.83-3.01
3 Na 0.2011 0.2011 0.4008  10 B 2.67-2.80, 4 Na 2.83-2.99, 2 C 2.83-2.87
4 Na 0.3005 0.3005 0.1031  11 B 2.67-2.93, 2 Na 2.83, 1 C 2.88
5 Na 0.3989 0.3989 0.7990  10 B 2.68-2.93, 2 C 2.77, 2 Na 2.83
6 Na 0.4996 0.4996 0.4991  8 B 2.66-2.80, 4 C 2.73-2.75, 2 Na 2.83
7 Na 0.6017 0.6017 0.2012  10 B 2.70-2.94, 2 C 2.74, 4 Na 2.83-3.01
8 Na 0.7001 0.7001 0.8995  12 B 2.71-2.97, 2 Na 2.83
9 Na 0.7993 0.7993 0.5990  9 B 2.67-2.88, 3 C 2.69-2.77, 2 Na 2.83
10 Na 0.9004 0.9004 0.3018  9 B 2.67-2.93, 3 C 2.70-2.75, 2 Na 2.83
11 B 0.0241 0.0241 0.2989  1 C 1.56
12 B 0.1203 0.1203 0.9909  3 B 1.70-1.83
13 B 0.1839 0.1839 0.1183  3 B 1.70-1.78
14 B 0.2160 0.2160 0.6802  3 B 1.69-1.75
15 B 0.2793 0.2793 0.8067  3 B 1.69-1.77
16 B 0.3829 0.3829 0.5158  3 C 1.63-1.64
17 B 0.4219 0.4219 0.0956  3 B 1.67-1.78
18 B 0.4846 0.4846 0.2205  3 B 1.67-1.76
19 B 0.5144 0.5144 0.7773  3 B 1.68-1.80
20 B 0.5773 0.5773 0.9035  3 B 1.68-1.83
21 B 0.6124 0.6124 0.4743  2 C 1.62, 1 B 1.73
22 B 0.6775 0.6775 0.6035  3 B 1.73-1.75
23 B 0.7247 0.7247 0.2004  3 B 1.78
24 B 0.7915 0.7915 0.3336  2 C 1.63, 1 B 1.78
25 B 0.8191 0.8191 0.8880  3 B 1.67-1.77
26 B 0.8813 0.8813 0.0137  3 B 1.67-1.78
27 B 0.9728 0.9728 0.6945  1 C 1.57
28 C 0.0827 0.0827 0.4156  3 B 1.56-1.62
29 C 0.3219 0.3219 0.3943  3 B 1.63
30 C 0.9140 0.9140 0.5773  3 B 1.57-1.64

Calculated values
Total DFT energy (no corrections) in eV/atom: -4.94
N(E_F) in states/eV per atom: 0.231
Energy of formation in eV per atom: 0.2067

Q: Among the records above, which one has the highest total DFT energy (no corrections)?
A: Ba2Ga4AgPd3

Q: Which value of N(E_F) does entry 1 give?
A: 0.566 states/eV per atom